Below is a geometry-optimized KCaYWO6 structure, with properties calculated at the PBE+U level.

extended XYZ file:
```
10
Lattice="-4.394 -3.927 0.367 -4.920 0.770 -3.172 -1.161 -3.566 -4.560" Properties=species:S:1:pos:R:3 pbc="T T T"
W 0.000 0.000 0.000
O -5.068 -1.158 -3.410
O -7.412 -3.252 -3.214
O -5.407 -5.565 -3.955
K -2.619 -1.681 -1.841
O -3.063 -3.471 -4.151
O -5.688 -3.060 -5.843
Ca -7.856 -5.042 -5.524
Y -5.238 -3.362 -3.682
O -4.788 -3.663 -1.522
```

- total magnetization (μB/f.u.) = 0.0
- total energy (eV per cell) = -72.4